1.
Density functional theory data (PBE-GGA) for crystalline ZnCuH2Pd5 at its relaxed geometry.

a b c (Å): 3.980 3.980 7.449
angles (deg): 90.00 90.00 90.00
Fractional positions:
Zn 0.000 0.000 0.000
Cu 0.500 0.500 0.500
H 0.500 0.500 0.257
H 0.500 0.500 0.743
Pd 0.000 0.500 0.268
Pd 0.000 0.500 0.732
Pd 0.500 0.000 0.268
Pd 0.500 0.000 0.732
Pd 0.500 0.500 0.000

Values from the calculation:
For the total energy, the calculation gives -38.881 eV/cell.

***

2.
Density functional theory data (PBE-GGA) for crystalline Zn2CuHPd at its relaxed geometry.

a b c (Å): 4.121 4.121 3.536
angles (deg): 90.00 90.00 90.00
Fractional positions:
Zn 0.000 0.500 0.000
Zn 0.500 0.000 0.000
Cu 0.000 0.000 0.500
H 0.500 0.500 0.000
Pd 0.500 0.500 0.500

Values from the calculation:
For the total energy, the calculation gives -15.452 eV/cell. The energy above the lowest structure with this stoichiometry comes out at 0.34 eV/f.u.

***

3.
Density functional theory data (PBE-GGA) for crystalline ZnCuHPd2 at its relaxed geometry.

a b c (Å): 4.022 4.022 3.665
angles (deg): 90.00 90.00 90.00
Fractional positions:
Zn 0.000 0.000 0.000
Cu 0.500 0.500 0.000
H 0.500 0.500 0.500
Pd 0.000 0.500 0.500
Pd 0.500 0.000 0.500

Values from the calculation:
For the total energy, the calculation gives -20.605 eV/cell. The energy above the lowest structure with this stoichiometry comes out at 0.00 eV/f.u.

***

4.
Density functional theory data (PBE-GGA) for crystalline ZnCuHPd2 at its relaxed geometry.

a b c (Å): 4.859 4.859 2.923
angles (deg): 90.00 90.00 90.00
Fractional positions:
Zn 0.000 0.000 0.000
Cu 0.500 0.500 0.500
H 0.500 0.500 0.000
Pd 0.000 0.500 0.500
Pd 0.500 0.000 0.500

Values from the calculation:
For the total energy, the calculation gives -18.071 eV/cell. The energy above the lowest structure with this stoichiometry comes out at 2.53 eV/f.u.

***

5.
Density functional theory data (PBE-GGA) for crystalline Zn2CuHPd at its relaxed geometry.

a b c (Å): 4.199 4.199 3.337
angles (deg): 90.00 90.00 90.00
Fractional positions:
Zn 0.000 0.500 0.000
Zn 0.500 0.000 0.000
Cu 0.000 0.000 0.500
H 0.000 0.000 0.000
Pd 0.500 0.500 0.500

Values from the calculation:
For the total energy, the calculation gives -15.790 eV/cell. The energy above the lowest structure with this stoichiometry comes out at 0.00 eV/f.u.

***

6.
Density functional theory data (PBE-GGA) for crystalline Zr2CuHPd at its relaxed geometry.

a b c (Å): 4.372 4.372 3.929
angles (deg): 90.00 90.00 90.00
Fractional positions:
Zr 0.000 0.500 0.000
Zr 0.500 0.000 0.000
Cu 0.000 0.000 0.500
H 0.500 0.500 0.000
Pd 0.500 0.500 0.500

Values from the calculation:
For the total energy, the calculation gives -31.297 eV/cell. The energy above the lowest structure with this stoichiometry comes out at 0.25 eV/f.u.

***

7.
Density functional theory data (PBE-GGA) for crystalline Zr2CuHPd at its relaxed geometry.

a b c (Å): 4.429 4.429 3.787
angles (deg): 90.00 90.00 90.00
Fractional positions:
Zr 0.000 0.500 0.000
Zr 0.500 0.000 0.000
Cu 0.000 0.000 0.500
H 0.000 0.000 0.000
Pd 0.500 0.500 0.500

Values from the calculation:
For the total energy, the calculation gives -31.545 eV/cell. The energy above the lowest structure with this stoichiometry comes out at 0.00 eV/f.u.

***

8.
Density functional theory data (PBE-GGA) for crystalline ZrCuHPd2 at its relaxed geometry.

a b c (Å): 4.015 4.015 4.221
angles (deg): 90.00 90.00 90.00
Fractional positions:
Zr 0.000 0.000 0.000
Cu 0.500 0.500 0.000
H 0.000 0.000 0.500
Pd 0.000 0.500 0.500
Pd 0.500 0.000 0.500

Values from the calculation:
For the total energy, the calculation gives -27.715 eV/cell.

***

9.
Density functional theory data (PBE-GGA) for crystalline ZrCu2HPd at its relaxed geometry.

a b c (Å): 3.923 3.923 4.224
angles (deg): 90.00 90.00 90.00
Fractional positions:
Zr 0.000 0.000 0.000
Cu 0.000 0.500 0.500
Cu 0.500 0.000 0.500
H 0.000 0.000 0.500
Pd 0.500 0.500 0.000

Values from the calculation:
For the total energy, the calculation gives -26.054 eV/cell.

***

10.
Density functional theory data (PBE-GGA) for crystalline PmCuH4 at its relaxed geometry.

a b c (Å): 4.380 4.380 3.848
angles (deg): 115.84 115.84 65.51
Fractional positions:
Pm 0.000 0.000 0.000
Cu 0.500 0.500 0.500
H 0.070 0.588 0.329
H 0.412 0.930 0.671
H 0.588 0.070 0.329
H 0.930 0.412 0.671

Values from the calculation:
For the total energy, the calculation gives -23.673 eV/cell. The energy above the lowest structure with this stoichiometry comes out at 0.34 eV/f.u.

***

11.
Density functional theory data (PBE-GGA) for crystalline PmCuH3 at its relaxed geometry.

a b c (Å): 3.969 6.752 4.612
angles (deg): 90.00 111.37 90.00
Fractional positions:
Pm 0.196 0.250 0.402
Pm 0.804 0.750 0.598
Cu 0.500 0.000 0.000
Cu 0.500 0.500 0.000
H 0.306 0.562 0.615
H 0.306 0.938 0.615
H 0.360 0.250 0.940
H 0.640 0.750 0.060
H 0.694 0.062 0.385
H 0.694 0.438 0.385

Values from the calculation:
For the total energy, the calculation gives -40.940 eV/cell. The energy above the lowest structure with this stoichiometry comes out at 0.64 eV/f.u.

***

12.
Density functional theory data (PBE-GGA) for crystalline PmCuH at its relaxed geometry.

a b c (Å): 5.035 5.035 5.035
angles (deg): 139.09 139.09 59.24
Fractional positions:
Pm 0.000 0.000 0.000
Cu 0.322 0.322 0.000
H 0.520 0.520 0.000

Values from the calculation:
For the total energy, the calculation gives -12.258 eV/cell. The energy above the lowest structure with this stoichiometry comes out at 1.06 eV/f.u.